The following is a PBE calculation of a relaxed Tl2ReAgS4 crystal, from Alexandria via LeMat-Bulk.

abc: 6.577 6.577 6.577
angles: 110.72 110.72 107.01
Atoms (fractional coordinates):
Tl: 0.000 0.000 0.000
Tl: 0.750 0.250 0.500
Re: 0.500 0.500 0.000
Ag: 0.250 0.750 0.500
S: 0.199 0.141 0.659
S: 0.459 0.801 0.942
S: 0.482 0.541 0.341
S: 0.859 0.518 0.058

Output
Density of states at the Fermi level, states/eV per atom: 0.7080
Total magnetic moment, Bohr magnetons per cell: 0.87
Raw formation energy, meV per atom: -204
Space-group type: I-4